Below is a relaxed RbCdGe crystal, with properties calculated at the PBE level.

Results
- ΔE to the lowest computed polymorph: 6.9 kJ/mol of atoms
- Symmetry: No. 139
- V: 33.10 A^3/atom
- E: -2.1618 eV/atom
- Formation enthalpy at 0 K: 0.00 eV per atom

```
data_RbCdGe
_chemical_formula_sum 'Rb2 Cd2 Ge2'
_symmetry_space_group_name_H-M 'P 1'
_symmetry_Int_Tables_number 1
_cell_length_a 4.9565
_cell_length_b 4.9565
_cell_length_c 8.8109
_cell_angle_alpha 106.34
_cell_angle_beta 106.34
_cell_angle_gamma 90.00
loop_
_symmetry_equiv_pos_as_xyz
'x,y,z'
loop_
_atom_site_label
_atom_site_fract_x
_atom_site_fract_y
_atom_site_fract_z
Ge1 0.0892 0.0892 0.1784
Ge2 0.9108 0.9108 0.8216
Cd1 0.5000 0.0000 0.0000
Cd2 0.0000 0.5000 0.0000
Rb1 0.6756 0.6756 0.3511
Rb2 0.3244 0.3244 0.6489
```


Below is a relaxed YPu2N4 crystal, with properties calculated at the PBE level.

Results
- E_form (uncorrected): -117.4 kJ per mole of atoms
- ΔE to the lowest computed polymorph: 0.0 kJ/mol of atoms
- Symmetry: No. 63
- V: 14.24 A^3/atom
- E: -10.9922 eV/atom

```
data_YPu2N4
_chemical_formula_sum 'Y2 Pu4 N8'
_symmetry_space_group_name_H-M 'P 1'
_symmetry_Int_Tables_number 1
_cell_length_a 3.3841
_cell_length_b 5.8954
_cell_length_c 10.4313
_cell_angle_alpha 90.00
_cell_angle_beta 90.00
_cell_angle_gamma 106.68
loop_
_symmetry_equiv_pos_as_xyz
'x,y,z'
loop_
_atom_site_label
_atom_site_fract_x
_atom_site_fract_y
_atom_site_fract_z
N1 0.9640 0.9279 0.7500
N2 0.5000 0.0000 0.0000
N3 0.5000 0.0000 0.5000
N4 0.2272 0.4544 0.6079
N5 0.0360 0.0721 0.2500
N6 0.7728 0.5456 0.1079
N7 0.2272 0.4544 0.8921
N8 0.7728 0.5456 0.3921
Pu1 0.1315 0.2631 0.4295
Pu2 0.8685 0.7369 0.9295
Pu3 0.1315 0.2631 0.0705
Pu4 0.8685 0.7369 0.5705
Y1 0.6070 0.2141 0.7500
Y2 0.3930 0.7859 0.2500
```


Below is a relaxed LiCe2Nd3Te6 crystal, with properties calculated at the PBE level.

Results
- E_form (uncorrected): -132.6 kJ per mole of atoms
- Symmetry: No. 12
- V: 31.57 A^3/atom
- E: -5.2858 eV/atom

```
data_LiCe2Nd3Te6
_chemical_formula_sum 'Li1 Ce2 Nd3 Te6'
_symmetry_space_group_name_H-M 'P 1'
_symmetry_Int_Tables_number 1
_cell_length_a 4.4543
_cell_length_b 8.9766
_cell_length_c 9.9967
_cell_angle_alpha 103.23
_cell_angle_beta 102.87
_cell_angle_gamma 90.00
loop_
_symmetry_equiv_pos_as_xyz
'x,y,z'
loop_
_atom_site_label
_atom_site_fract_x
_atom_site_fract_y
_atom_site_fract_z
Ce1 0.1664 0.3334 0.3328
Ce2 0.8336 0.6666 0.6672
Nd1 0.1689 0.8308 0.3378
Nd2 0.5000 0.5000 0.0000
Nd3 0.8311 0.1692 0.6622
Te1 0.6664 0.5820 0.3327
Te2 0.9993 0.2389 0.9986
Te3 0.3336 0.4180 0.6673
Te4 0.3397 0.9214 0.6794
Te5 0.0007 0.7611 0.0014
Te6 0.6603 0.0786 0.3206
Li1 0.5000 0.0000 0.0000
```


Below is a relaxed PmNdErTh2 crystal, with properties calculated at the PBE level.

Results
- Symmetry: No. 63
- V: 35.39 A^3/atom
- E: -5.4107 eV/atom
- Formation enthalpy at 0 K: 0.37 eV per atom

```
data_PmNdErTh2
_chemical_formula_sum 'Pm2 Nd2 Er2 Th4'
_symmetry_space_group_name_H-M 'P 1'
_symmetry_Int_Tables_number 1
_cell_length_a 6.7157
_cell_length_b 6.7072
_cell_length_c 8.5434
_cell_angle_alpha 113.11
_cell_angle_beta 90.00
_cell_angle_gamma 90.00
loop_
_symmetry_equiv_pos_as_xyz
'x,y,z'
loop_
_atom_site_label
_atom_site_fract_x
_atom_site_fract_y
_atom_site_fract_z
Pm1 0.7500 0.1516 0.3032
Pm2 0.2500 0.8484 0.6968
Th1 0.5000 0.7477 0.0000
Th2 0.0000 0.2523 0.0000
Th3 0.0000 0.7477 0.0000
Th4 0.5000 0.2523 0.0000
Nd1 0.7500 0.7440 0.4880
Nd2 0.2500 0.2560 0.5120
Er1 0.7500 0.3492 0.6985
Er2 0.2500 0.6508 0.3015
```